1.
This record from the Alexandria database describes a geometry-optimized Mg2Zn4Ga5 structure. The functional is PBE-GGA.

For the formation energy, the calculation gives -0.010 eV/atom. As for the density of states at the Fermi level: 3.18 states/eV per cell. The space-group type is Immm (71). The calculated total energy is -23.53 eV for the cell shown.

Structure (POSCAR):
```
Mg2Zn4Ga5
1.0
-2.684 3.930 4.728
2.684 -3.930 4.728
2.684 3.930 -4.728
Mg Zn Ga
2 4 5
Direct
0.168 0.168 0.000
0.832 0.832 0.000
0.076 0.744 0.332
0.412 0.744 0.668
0.588 0.256 0.332
0.924 0.256 0.668
0.000 0.500 0.500
0.326 0.252 0.578
0.326 0.748 0.073
0.674 0.252 0.927
0.674 0.748 0.422
```

***

2.
This record from the Alexandria database describes a geometry-optimized Mg2ZnGa9 structure. The functional is PBE-GGA.

For the formation energy, the calculation gives -0.044 eV/atom. As for the density of states at the Fermi level: 5.35 states/eV per cell. The space-group type is P4/mmm (123). The calculated total energy is -32.23 eV for the cell shown.

Structure (POSCAR):
```
Mg2ZnGa9
1.0
4.185 0.000 0.000
0.000 4.185 0.000
0.000 0.000 12.588
Mg Zn Ga
2 1 9
Direct
0.000 0.000 0.167
0.000 0.000 0.833
0.000 0.000 0.500
0.000 0.500 0.000
0.000 0.500 0.338
0.000 0.500 0.662
0.500 0.000 0.000
0.500 0.000 0.338
0.500 0.000 0.662
0.500 0.500 0.165
0.500 0.500 0.500
0.500 0.500 0.835
```

***

3.
This record from the Alexandria database describes a geometry-optimized MgZn5Ga structure. The functional is PBE-GGA.

For the formation energy, the calculation gives -0.010 eV/atom. As for the density of states at the Fermi level: 6.90 states/eV per cell. The space-group type is Pnma (62). The calculated total energy is -44.25 eV for the cell shown.

Structure (POSCAR):
```
MgZn5Ga
1.0
8.430 0.000 0.000
0.000 5.324 0.000
0.000 0.000 10.476
Mg Zn Ga
4 20 4
Direct
0.244 0.250 0.066
0.256 0.750 0.566
0.744 0.250 0.434
0.756 0.750 0.934
0.064 0.750 0.091
0.065 0.008 0.310
0.065 0.492 0.310
0.097 0.250 0.520
0.188 0.250 0.759
0.312 0.750 0.259
0.403 0.750 0.020
0.435 0.508 0.810
0.435 0.992 0.810
0.436 0.250 0.591
0.564 0.750 0.409
0.565 0.008 0.190
0.565 0.492 0.190
0.597 0.250 0.980
0.688 0.250 0.741
0.812 0.750 0.241
0.903 0.750 0.480
0.935 0.508 0.690
0.935 0.992 0.690
0.936 0.250 0.909
0.130 0.750 0.858
0.370 0.250 0.358
0.630 0.750 0.642
0.870 0.250 0.142
```

***

4.
This record from the Alexandria database describes a geometry-optimized Mg6ZnGa2 structure. The functional is PBE-GGA.

Its energy above the most stable polymorph in this dataset is 14 kJ/mol of formula units. For the formation energy, the calculation gives -0.040 eV/atom. As for the density of states at the Fermi level: 3.61 states/eV per cell. The space-group type is C2/m (12). The calculated total energy is -17.26 eV for the cell shown.

Structure (POSCAR):
```
Mg6ZnGa2
1.0
7.266 -3.238 0.000
7.266 3.238 0.000
-1.442 0.000 4.357
Mg Zn Ga
6 1 2
Direct
0.083 0.585 0.334
0.249 0.751 0.000
0.415 0.917 0.666
0.585 0.083 0.334
0.751 0.249 0.000
0.917 0.415 0.666
0.000 0.000 0.500
0.333 0.333 0.833
0.667 0.667 0.167
```

***

5.
This record from the Alexandria database describes a geometry-optimized Mg16Zn12Ga structure. The functional is PBE-GGA.

For the formation energy, the calculation gives -0.076 eV/atom. As for the density of states at the Fermi level: 7.59 states/eV per cell. The space-group type is Cm (8). The calculated total energy is -46.03 eV for the cell shown.

Structure (POSCAR):
```
Mg16Zn12Ga
1.0
5.147 -6.897 0.000
5.147 6.897 0.000
-4.865 0.000 7.650
Mg Zn Ga
16 12 1
Direct
0.000 0.000 0.000
0.001 0.400 0.996
0.009 0.308 0.292
0.086 0.703 0.352
0.094 0.343 0.670
0.291 0.291 0.988
0.308 0.009 0.292
0.318 0.687 0.671
0.343 0.094 0.670
0.373 0.686 0.085
0.400 0.001 0.996
0.686 0.373 0.085
0.686 0.686 0.674
0.687 0.318 0.671
0.703 0.086 0.352
0.727 0.727 0.363
0.052 0.669 0.857
0.057 0.868 0.692
0.343 0.537 0.325
0.352 0.352 0.514
0.492 0.492 0.849
0.507 0.889 0.500
0.537 0.343 0.325
0.662 0.853 0.019
0.669 0.052 0.857
0.853 0.662 0.019
0.868 0.057 0.692
0.889 0.507 0.500
0.995 0.995 0.333
```

***

6.
This record from the Alexandria database describes a geometry-optimized MgZn5Ga6 structure. The functional is PBE-GGA.

For the formation energy, the calculation gives 0.022 eV/atom. As for the density of states at the Fermi level: 4.89 states/eV per cell. The space-group type is P-1 (2). The calculated total energy is -25.86 eV for the cell shown.

Structure (POSCAR):
```
MgZn5Ga6
1.0
5.087 0.000 0.000
0.018 6.021 0.000
0.245 0.013 6.756
Mg Zn Ga
1 5 6
Direct
0.000 0.000 0.000
0.000 0.500 0.000
0.331 0.502 0.331
0.340 0.002 0.336
0.660 0.998 0.664
0.669 0.498 0.669
0.169 0.745 0.661
0.171 0.257 0.662
0.500 0.254 0.001
0.500 0.746 0.999
0.829 0.743 0.338
0.831 0.255 0.339
```

***

7.
This record from the Alexandria database describes a geometry-optimized Mg2ZnGa6 structure. The functional is PBE-GGA.

Its energy above the most stable polymorph in this dataset is 44 kJ/mol of formula units. For the formation energy, the calculation gives 0.007 eV/atom. As for the density of states at the Fermi level: 2.71 states/eV per cell. The space-group type is C2/m (12). The calculated total energy is -22.57 eV for the cell shown.

Structure (POSCAR):
```
Mg2ZnGa6
1.0
6.874 -4.049 0.000
6.874 4.049 0.000
-0.624 0.000 3.209
Mg Zn Ga
2 1 6
Direct
0.149 0.149 0.128
0.851 0.851 0.872
0.500 0.500 0.500
0.143 0.516 0.342
0.238 0.762 0.000
0.484 0.857 0.658
0.516 0.143 0.342
0.762 0.238 0.000
0.857 0.484 0.658
```

***

8.
This record from the Alexandria database describes a geometry-optimized MgZn4Ga4 structure. The functional is PBE-GGA.

Its energy above the most stable polymorph in this dataset is 0 kJ/mol of formula units. For the formation energy, the calculation gives 0.001 eV/atom. As for the density of states at the Fermi level: 3.84 states/eV per cell. The space-group type is I4/mmm (139). The calculated total energy is -18.79 eV for the cell shown.

Structure (POSCAR):
```
MgZn4Ga4
1.0
-4.425 4.425 1.973
4.425 -4.425 1.973
4.425 4.425 -1.973
Mg Zn Ga
1 4 4
Direct
0.000 0.000 0.000
0.000 0.342 0.342
0.000 0.658 0.658
0.342 0.000 0.342
0.658 0.000 0.658
0.329 0.329 0.657
0.329 0.671 0.000
0.671 0.329 0.000
0.671 0.671 0.343
```

***

9.
This record from the Alexandria database describes a geometry-optimized Mg3ZnGa4 structure. The functional is PBE-GGA.

For the formation energy, the calculation gives -0.074 eV/atom. As for the density of states at the Fermi level: 2.20 states/eV per cell. The space-group type is Immm (71). The calculated total energy is -18.76 eV for the cell shown.

Structure (POSCAR):
```
Mg3ZnGa4
1.0
-1.516 2.732 9.212
1.516 -2.732 9.212
1.516 2.732 -9.212
Mg Zn Ga
3 1 4
Direct
0.000 0.000 0.000
0.264 0.764 0.500
0.736 0.236 0.500
0.500 0.500 0.000
0.121 0.377 0.744
0.367 0.623 0.744
0.633 0.377 0.256
0.879 0.623 0.256
```

***

10.
This record from the Alexandria database describes a geometry-optimized MgZn4Ga5 structure. The functional is PBE-GGA.

For the formation energy, the calculation gives 0.027 eV/atom. As for the density of states at the Fermi level: 2.32 states/eV per cell. The space-group type is C2/m (12). The calculated total energy is -21.55 eV for the cell shown.

Structure (POSCAR):
```
MgZn4Ga5
1.0
6.992 -2.040 0.000
6.992 2.040 0.000
-3.701 0.000 6.398
Mg Zn Ga
1 4 5
Direct
0.000 0.000 0.000
0.174 0.174 0.919
0.480 0.480 0.250
0.520 0.520 0.750
0.826 0.826 0.081
0.000 0.000 0.500
0.312 0.312 0.416
0.329 0.329 0.812
0.671 0.671 0.188
0.688 0.688 0.584
```

***

11.
This record from the Alexandria database describes a geometry-optimized Mg2Zn16Ga structure. The functional is PBE-GGA.

For the formation energy, the calculation gives -0.006 eV/atom. As for the density of states at the Fermi level: 5.09 states/eV per cell. The space-group type is R3m (160). The calculated total energy is -26.72 eV for the cell shown.

Structure (POSCAR):
```
Mg2Zn16Ga
1.0
4.516 2.607 4.359
-4.516 2.607 4.359
0.000 -5.214 4.359
Mg Zn Ga
2 16 1
Direct
0.000 0.000 0.000
0.288 0.288 0.288
0.147 0.654 0.654
0.301 0.301 0.819
0.301 0.819 0.301
0.336 0.649 0.967
0.336 0.967 0.649
0.487 0.996 0.996
0.649 0.336 0.967
0.649 0.967 0.336
0.654 0.147 0.654
0.654 0.654 0.147
0.751 0.751 0.751
0.819 0.301 0.301
0.967 0.336 0.649
0.967 0.649 0.336
0.996 0.487 0.996
0.996 0.996 0.487
0.546 0.546 0.546
```

***

12.
This record from the Alexandria database describes a geometry-optimized MgZn2Ga7 structure. The functional is PBE-GGA.

For the formation energy, the calculation gives 0.028 eV/atom. As for the density of states at the Fermi level: 2.66 states/eV per cell. The space-group type is Cmmm (65). The calculated total energy is -25.05 eV for the cell shown.

Structure (POSCAR):
```
MgZn2Ga7
1.0
4.293 -7.821 0.000
4.293 7.821 0.000
0.000 0.000 2.939
Mg Zn Ga
1 2 7
Direct
0.000 0.000 0.000
0.325 0.675 0.500
0.675 0.325 0.500
0.132 0.328 0.500
0.186 0.814 0.000
0.328 0.132 0.500
0.500 0.500 0.500
0.672 0.868 0.500
0.814 0.186 0.000
0.868 0.672 0.500
```

***

13.
This record from the Alexandria database describes a geometry-optimized Mg2ZnGa4 structure. The functional is PBE-GGA.

Its energy above the most stable polymorph in this dataset is 17 kJ/mol of formula units. For the formation energy, the calculation gives 0.001 eV/atom. As for the density of states at the Fermi level: 2.27 states/eV per cell. The space-group type is Fmmm (69). The calculated total energy is -16.57 eV for the cell shown.

Structure (POSCAR):
```
Mg2ZnGa4
1.0
0.000 4.503 4.507
3.408 0.000 4.507
3.408 4.503 0.000
Mg Zn Ga
2 1 4
Direct
0.250 0.250 0.250
0.750 0.750 0.750
0.000 0.000 0.000
0.292 0.708 0.292
0.293 0.293 0.707
0.707 0.707 0.293
0.708 0.292 0.708
```

***

14.
This record from the Alexandria database describes a geometry-optimized Mg2ZnGa2 structure. The functional is PBE-GGA.

Its energy above the most stable polymorph in this dataset is 118 kJ/mol of formula units. For the formation energy, the calculation gives 0.136 eV/atom. As for the density of states at the Fermi level: 1.94 states/eV per cell. The space-group type is I4/mmm (139). The calculated total energy is -9.84 eV for the cell shown.

Structure (POSCAR):
```
Mg2ZnGa2
1.0
-2.084 2.084 6.065
2.084 -2.084 6.065
2.084 2.084 -6.065
Mg Zn Ga
2 1 2
Direct
0.250 0.750 0.500
0.750 0.250 0.500
0.000 0.000 0.000
0.401 0.401 0.000
0.599 0.599 0.000
```

***

15.
This record from the Alexandria database describes a geometry-optimized Mg3Zn9Ga2 structure. The functional is PBE-GGA.

For the formation energy, the calculation gives -0.044 eV/atom. As for the density of states at the Fermi level: 3.54 states/eV per cell. The space-group type is Immm (71). The calculated total energy is -22.92 eV for the cell shown.

Structure (POSCAR):
```
Mg3Zn9Ga2
1.0
-2.090 5.058 5.648
2.090 -5.058 5.648
2.090 5.058 -5.648
Mg Zn Ga
3 9 2
Direct
0.000 0.000 0.000
0.280 0.280 0.000
0.720 0.720 0.000
0.008 0.631 0.376
0.122 0.844 0.278
0.255 0.631 0.624
0.434 0.156 0.278
0.500 0.000 0.500
0.566 0.844 0.722
0.745 0.369 0.376
0.878 0.156 0.722
0.992 0.369 0.624
0.338 0.500 0.838
0.662 0.500 0.162
```

***

16.
This record from the Alexandria database describes a geometry-optimized Mg3Zn2Ga4 structure. The functional is PBE-GGA.

For the formation energy, the calculation gives -0.107 eV/atom. As for the density of states at the Fermi level: 1.78 states/eV per cell. The space-group type is C2/m (12). The calculated total energy is -20.40 eV for the cell shown.

Structure (POSCAR):
```
Mg3Zn2Ga4
1.0
4.949 -2.244 0.000
4.949 2.244 0.000
-3.773 0.000 7.435
Mg Zn Ga
3 2 4
Direct
0.000 0.000 0.000
0.331 0.331 0.341
0.669 0.669 0.659
0.391 0.391 0.722
0.609 0.609 0.278
0.044 0.044 0.375
0.264 0.264 0.929
0.736 0.736 0.071
0.956 0.956 0.625
```

***

17.
This record from the Alexandria database describes a geometry-optimized Mg4Zn2Ga structure. The functional is PBE-GGA.

For the formation energy, the calculation gives -0.048 eV/atom. As for the density of states at the Fermi level: 2.63 states/eV per cell. The space-group type is R-3m (166). The calculated total energy is -12.29 eV for the cell shown.

Structure (POSCAR):
```
Mg4Zn2Ga
1.0
2.331 1.346 7.527
-2.331 1.346 7.527
0.000 -2.692 7.527
Mg Zn Ga
4 2 1
Direct
0.119 0.119 0.119
0.371 0.371 0.371
0.629 0.629 0.629
0.881 0.881 0.881
0.249 0.249 0.249
0.751 0.751 0.751
0.500 0.500 0.500
```

***

18.
This record from the Alexandria database describes a geometry-optimized MgZn2Ga4 structure. The functional is PBE-GGA.

Its energy above the most stable polymorph in this dataset is 13 kJ/mol of formula units. For the formation energy, the calculation gives 0.008 eV/atom. As for the density of states at the Fermi level: 2.03 states/eV per cell. The space-group type is Cmmm (65). The calculated total energy is -16.20 eV for the cell shown.

Structure (POSCAR):
```
MgZn2Ga4
1.0
2.156 -7.895 0.000
2.156 7.895 0.000
0.000 0.000 3.828
Mg Zn Ga
1 2 4
Direct
0.000 0.000 0.000
0.424 0.576 0.500
0.576 0.424 0.500
0.169 0.831 0.500
0.307 0.693 0.000
0.693 0.307 0.000
0.831 0.169 0.500
```

***

19.
This record from the Alexandria database describes a geometry-optimized Mg6ZnGa5 structure. The functional is PBE-GGA.

For the formation energy, the calculation gives -0.130 eV/atom. As for the density of states at the Fermi level: 3.13 states/eV per cell. The space-group type is Cmmm (65). The calculated total energy is -27.54 eV for the cell shown.

Structure (POSCAR):
```
Mg6ZnGa5
1.0
2.193 -6.509 0.000
2.193 6.509 0.000
0.000 0.000 7.995
Mg Zn Ga
6 1 5
Direct
0.000 0.000 0.247
0.000 0.000 0.753
0.333 0.667 0.245
0.333 0.667 0.755
0.667 0.333 0.245
0.667 0.333 0.755
0.500 0.500 0.000
0.165 0.835 0.000
0.169 0.831 0.500
0.500 0.500 0.500
0.831 0.169 0.500
0.835 0.165 0.000
```

***

20.
This record from the Alexandria database describes a geometry-optimized Mg12Zn6Ga structure. The functional is PBE-GGA.

Its energy above the most stable polymorph in this dataset is 158 kJ/mol of formula units. For the formation energy, the calculation gives 0.050 eV/atom. As for the density of states at the Fermi level: 8.76 states/eV per cell. The space-group type is R-3 (148). The calculated total energy is -28.86 eV for the cell shown.

Structure (POSCAR):
```
Mg12Zn6Ga
1.0
6.219 3.591 2.940
-6.219 3.591 2.940
0.000 -7.182 2.940
Mg Zn Ga
12 6 1
Direct
0.119 0.265 0.831
0.169 0.881 0.735
0.190 0.479 0.580
0.265 0.831 0.119
0.420 0.810 0.521
0.479 0.580 0.190
0.521 0.420 0.810
0.580 0.190 0.479
0.735 0.169 0.881
0.810 0.521 0.420
0.831 0.119 0.265
0.881 0.735 0.169
0.088 0.475 0.194
0.194 0.088 0.475
0.475 0.194 0.088
0.525 0.806 0.912
0.806 0.912 0.525
0.912 0.525 0.806
0.000 0.000 0.000
```